# Pm3Sm2Dy6Ho PBE relaxed
data_Pm3Sm2Dy6Ho
_cell_length_a 6.2097
_cell_length_b 10.7500
_cell_length_c 11.8385
_cell_angle_alpha 90.00
_cell_angle_beta 100.03
_cell_angle_gamma 90.00
_space_group_name_H-M_alt 'C 1 2/m 1'
_space_group_IT_number 12
loop_
_space_group_symop_operation_xyz
'x,y,z'
'-x,-y,-z'
'-x,y,-z'
'x,-y,z'
'x+1/2,y+1/2,z'
'-x+1/2,-y+1/2,-z'
'-x+1/2,y+1/2,-z'
'x+1/2,-y+1/2,z'
loop_
_atom_site_label
_atom_site_type_symbol
_atom_site_fract_x
_atom_site_fract_y
_atom_site_fract_z
Pm1 Pm 0.0000 0.0000 0.0000
Pm2 Pm 0.0000 0.3333 0.0000
Sm1 Sm 0.0000 0.1665 0.5000
Dy1 Dy 0.2495 0.3335 0.7486
Dy2 Dy 0.2503 0.0000 0.7488
Ho1 Ho 0.0000 0.5000 0.5000
# Theoretical density ... 8.00 g/cm³
# ΔH_f (0 K) ... 0.01 eV/atom
# Total magnetization ... 0.00 Bohr magnetons per cell